SnGeWO2 | Alexandria | PBE+U | relaxed; spin magnetization = 2.230 Bohr magnetons per cell; symmetry = No. 123; ρ = 6.625 Mg/m³; VASP energy = -4.955 eV per atom; V = 20.4 Å³/atom
1.0
3.861 0.000 0.000
0.000 6.847 0.000
0.000 0.000 3.861
O W Sn Ge
2 1 1 1
Direct
0.000 0.000 0.500
0.500 0.000 0.000
0.000 0.500 0.000
0.000 0.000 0.000
0.500 0.500 0.500